# Tb3TlCd2 (PBE-GGA, relaxed)
# Energy above the lowest structure with this stoichiometry = 0.000 kcal/mol of atoms
# Total magnetic moment = 0.00 μB/f.u.
# Formation energy = -336 meV/atom
# Space-group type = Cmmm, No. 65
data_Tb3TlCd2
_cell_length_a 3.758
_cell_length_b 5.334
_cell_length_c 8.491
_cell_angle_alpha 108.31
_cell_angle_beta 90.00
_cell_angle_gamma 90.00
_space_group_name_H-M_alt 'P 1'
_space_group_IT_number 1
_space_group_name_Hall 'P 1'
loop_
_atom_site_label
_atom_site_type_symbol
_atom_site_fract_x
_atom_site_fract_y
_atom_site_fract_z
Tb1 Tb 0.500 0.500 0.000
Tb2 Tb 0.500 0.832 0.665
Tb3 Tb 0.500 0.168 0.335
Tl1 Tl 0.000 0.000 0.000
Cd1 Cd 0.000 0.328 0.657
Cd2 Cd 0.000 0.672 0.343

---

# CdTc2Pt (PBE-GGA, relaxed)
# Total magnetic moment = 0.00 μB/f.u.
# Formation energy = 236 meV/atom
# Space-group type = R-3m, No. 166
data_CdTc2Pt
_cell_length_a 9.526
_cell_length_b 9.526
_cell_length_c 9.526
_cell_angle_alpha 16.92
_cell_angle_beta 16.92
_cell_angle_gamma 16.92
_space_group_name_H-M_alt 'P 1'
_space_group_IT_number 1
_space_group_name_Hall 'P 1'
loop_
_atom_site_label
_atom_site_type_symbol
_atom_site_fract_x
_atom_site_fract_y
_atom_site_fract_z
Cd1 Cd 0.250 0.250 0.250
Pt1 Pt 0.750 0.750 0.750
Tc1 Tc 0.005 0.005 0.005
Tc2 Tc 0.495 0.495 0.495

---

# ThMg2Tl (PBE-GGA, relaxed)
# Energy above the lowest structure with this stoichiometry = 2.029 kcal/mol of atoms
# Total magnetic moment = 0.00 μB/f.u.
# Formation energy = 14 meV/atom
# Space-group type = R3m, No. 160
data_ThMg2Tl
_cell_length_a 3.400
_cell_length_b 3.400
_cell_length_c 10.924
_cell_angle_alpha 81.05
_cell_angle_beta 81.05
_cell_angle_gamma 60.00
_space_group_name_H-M_alt 'P 1'
_space_group_IT_number 1
_space_group_name_Hall 'P 1'
loop_
_atom_site_label
_atom_site_type_symbol
_atom_site_fract_x
_atom_site_fract_y
_atom_site_fract_z
Th1 Th 0.500 0.500 0.499
Mg1 Mg 0.077 0.077 0.770
Mg2 Mg 0.256 0.256 0.231
Tl1 Tl 0.667 0.667 0.000

---

# CeH12N5F4 (PBE-GGA, relaxed)
# Final energy = -5.237 eV per atom
# Total magnetic moment = 3.02 μB/f.u.
# Space-group type = P4/ncc, No. 130
data_CeH12N5F4
_cell_length_a 9.181
_cell_length_b 9.181
_cell_length_c 10.985
_cell_angle_alpha 90.00
_cell_angle_beta 90.00
_cell_angle_gamma 90.00
_space_group_name_H-M_alt 'P 1'
_space_group_IT_number 1
_space_group_name_Hall 'P 1'
loop_
_atom_site_label
_atom_site_type_symbol
_atom_site_fract_x
_atom_site_fract_y
_atom_site_fract_z
Ce1 Ce 0.000 0.000 0.250
Ce2 Ce 0.000 0.000 0.750
Ce3 Ce 0.500 0.500 0.750
Ce4 Ce 0.500 0.500 0.250
H1 H 0.783 0.919 0.460
H2 H 0.217 0.919 0.960
H3 H 0.783 0.081 0.960
H4 H 0.217 0.081 0.460
H5 H 0.419 0.283 0.960
H6 H 0.581 0.283 0.460
H7 H 0.419 0.717 0.460
H8 H 0.581 0.717 0.960
H9 H 0.717 0.581 0.540
H10 H 0.283 0.581 0.040
H11 H 0.717 0.419 0.040
H12 H 0.283 0.419 0.540
H13 H 0.081 0.217 0.040
H14 H 0.919 0.217 0.540
H15 H 0.081 0.783 0.540
H16 H 0.919 0.783 0.040
H17 H 0.748 0.789 0.360
H18 H 0.252 0.789 0.860
H19 H 0.748 0.211 0.860
H20 H 0.252 0.211 0.360
H21 H 0.289 0.248 0.860
H22 H 0.711 0.248 0.360
H23 H 0.289 0.752 0.360
H24 H 0.711 0.752 0.860
H25 H 0.752 0.711 0.640
H26 H 0.248 0.711 0.140
H27 H 0.752 0.289 0.140
H28 H 0.248 0.289 0.640
H29 H 0.211 0.252 0.140
H30 H 0.789 0.252 0.640
H31 H 0.211 0.748 0.640
H32 H 0.789 0.748 0.140
H33 H 0.685 0.956 0.337
H34 H 0.315 0.956 0.837
H35 H 0.685 0.044 0.837
H36 H 0.315 0.044 0.337
H37 H 0.456 0.185 0.837
H38 H 0.544 0.185 0.337
H39 H 0.456 0.815 0.337
H40 H 0.544 0.815 0.837
H41 H 0.815 0.544 0.663
H42 H 0.185 0.544 0.163
H43 H 0.815 0.456 0.163
H44 H 0.185 0.456 0.663
H45 H 0.044 0.315 0.163
H46 H 0.956 0.315 0.663
H47 H 0.044 0.685 0.663
H48 H 0.956 0.685 0.163
N1 N 0.772 0.898 0.369
N2 N 0.228 0.898 0.869
N3 N 0.772 0.102 0.869
N4 N 0.228 0.102 0.369
N5 N 0.398 0.272 0.869
N6 N 0.602 0.272 0.369
N7 N 0.398 0.728 0.369
N8 N 0.602 0.728 0.869
N9 N 0.728 0.602 0.631
N10 N 0.272 0.602 0.131
N11 N 0.728 0.398 0.131
N12 N 0.272 0.398 0.631
N13 N 0.102 0.228 0.131
N14 N 0.898 0.228 0.631
N15 N 0.102 0.772 0.631
N16 N 0.898 0.772 0.131
N17 N 0.000 0.500 0.349
N18 N 0.000 0.500 0.849
N19 N 0.500 0.000 0.651
N20 N 0.500 0.000 0.151
F1 F 0.920 0.174 0.369
F2 F 0.080 0.174 0.869
F3 F 0.920 0.826 0.869
F4 F 0.080 0.826 0.369
F5 F 0.674 0.420 0.869
F6 F 0.326 0.420 0.369
F7 F 0.674 0.580 0.369
F8 F 0.326 0.580 0.869
F9 F 0.580 0.326 0.631
F10 F 0.420 0.326 0.131
F11 F 0.580 0.674 0.131
F12 F 0.420 0.674 0.631
F13 F 0.826 0.080 0.131
F14 F 0.174 0.080 0.631
F15 F 0.826 0.920 0.631
F16 F 0.174 0.920 0.131